Record 1
Computed, not measured: crystalline MgAl2Ru at its relaxed geometry at the PBE level of DFT.

Unit cell a=5.1052 b=5.1052 c=4.2595 alpha=65.40 beta=65.40 gamma=37.96
Last column: nearest neighbours and their distance in Å.
Positions (direct):
Al  0.2544  0.2544  0.2455  4 Ru 2.70, 4 Al 2.80-2.98, 4 Mg 2.83-2.95
Ru  0.7410  0.7410  0.7591  6 Al 2.57-2.70, 2 Mg 2.72
Al  0.0149  0.0149  0.9849  2 Ru 2.57, 4 Mg 2.71, 2 Al 2.80
Mg  0.4896  0.4896  0.5105  8 Al 2.71-2.95, 2 Ru 2.72

Summary:
E   -19.6 eV/cell
SG   Imm2 (44)
Total magnetic moment   0.0 μB per formula unit

Record 2
Computed, not measured: crystalline KVBrCl2 at its relaxed geometry at the PBE level of DFT.

Unit cell a=5.5272 b=5.9049 c=5.5272 alpha=90.00 beta=90.00 gamma=90.00
Last column: nearest neighbours and their distance in Å.
Positions (direct):
Cl  0.5000  0.0000  0.0000  2 K 2.76
K  0.0000  0.0000  0.0000  4 Cl 2.76, 2 Br 2.95
Br  0.0000  0.5000  0.0000  2 K 2.95
V  0.5000  0.5000  0.5000  4 Br 3.91, 8 Cl 4.04
Cl  0.0000  0.0000  0.5000  2 K 2.76

Summary:
E   -15.5 eV/cell
SG   P4/mmm (123)
Total magnetic moment   3.0 μB per formula unit
Formation energy without anion corrections   0.008 eV/atom

Record 3
Computed, not measured: crystalline ZrCdCl2 at its relaxed geometry at the PBE level of DFT.

Unit cell a=4.9090 b=3.3996 c=5.6367 alpha=72.48 beta=90.00 gamma=90.00
Last column: nearest neighbours and their distance in Å.
Positions (direct):
Cd  0.5000  0.7042  0.7172  3 Cl 2.93-2.98
Cl  0.0000  0.0260  0.0723  2 Zr 2.64
Zr  0.0000  0.3384  0.4487  4 Cl 2.64-2.65
Cl  0.5000  0.4313  0.2617  2 Zr 2.65, 1 Cd 2.93

Summary:
E   -16.0 eV/cell
SG   Amm2 (38)
Total magnetic moment   0.0 μB per formula unit
Formation energy without anion corrections   -0.720 eV/atom